[1]
The following is a meta-GGA SCAN calculation of a PBEsol-optimized structure of CeNi5, from the Alexandria database.

The calculation puts the electronic total energy at -21.2117 eV/atom. Its energy of formation from the pure elements is -0.307 eV per atom.

It has space group P6/mmm (No. 191), with a = 4.8024 Å, b = 4.8024 Å, c = 3.9303 Å, α = 90.00°, β = 90.00° and γ = 120.00°. The inequivalent atoms are Ce at (0.0000, 0.0000, 0.0000), Ni at (0.0000, 0.5000, 0.5000) and Ni at (0.3333, 0.6667, 0.0000).


[2]
The following is a meta-GGA SCAN calculation of a PBEsol-optimized structure of ZrTi2H4, from the Alexandria database.

The calculation puts the electronic total energy at -11.4958 eV/atom.

It has space group Fd-3m (No. 227, origin choice 2), with a = 8.0340 Å, b = 8.0340 Å, c = 8.0340 Å, α = 90.00°, β = 90.00° and γ = 90.00°. The inequivalent atoms are Zr at (0.1250, 0.1250, 0.1250), Ti at (0.0000, 0.0000, 0.5000) and H at (0.0188, 0.0188, 0.7312).


[3]
The following is a meta-GGA SCAN calculation of a PBEsol-optimized structure of CaYTe2, from the Alexandria database.

Its uncorrected formation energy is -1.6229 eV per atom. The calculation puts the electronic total energy at -29.6250 eV/atom. The calculation puts the energy relative to the lowest polymorph listed for this composition at 0.02 eV per formula unit.

It has space group P4/mmm (No. 123), with a = 4.3556 Å, b = 4.3556 Å, c = 6.1487 Å, α = 90.00°, β = 90.00° and γ = 90.00°. The inequivalent atoms are Ca at (0.0000, 0.0000, 0.0000), Y at (0.5000, 0.5000, 0.5000), Te at (0.0000, 0.0000, 0.5000) and Te at (0.5000, 0.5000, 0.0000).


[4]
The following is a meta-GGA SCAN calculation of a PBEsol-optimized structure of PBrF2, from the Alexandria database.

Its uncorrected formation energy is -0.9860 eV per atom. The calculation puts the electronic total energy at -10.2205 eV/atom. The calculation puts the energy relative to the lowest polymorph listed for this composition at 0.00 eV per formula unit.

It has space group R-3m (No. 166, hexagonal axes), with a = 2.7996 Å, b = 2.7996 Å, c = 28.8557 Å, α = 90.00°, β = 90.00° and γ = 120.00°. The inequivalent atoms are P at (0.0000, 0.0000, 0.0000), Br at (0.0000, 0.0000, 0.5000) and F at (0.0000, 0.0000, 0.0569).